Entry from Alexandria: an optimized crystal structure of Cd2PAu (PBE-GGA).

It has space group R-3m (No. 166, hexagonal axes), with a = 3.9103 Å, b = 3.9103 Å, c = 19.7685 Å, α = 90.00°, β = 90.00° and γ = 120.00°. Symmetry generates all atoms from Cd at (0.0000, 0.0000, 0.2422), P at (0.0000, 0.0000, 0.5000) and Au at (0.0000, 0.0000, 0.0000).

The total energy comes out at -30.4 eV for the cell shown.

=====

Entry from Alexandria: an optimized crystal structure of LiZn2Tc (PBE-GGA).

It has space group Cmm2 (No. 35), with a = 3.1636 Å, b = 4.1492 Å, c = 8.8071 Å, α = 90.00°, β = 90.00° and γ = 90.00°. Symmetry generates all atoms from Li at (0.0000, 0.0000, 0.0000), Zn at (0.0000, 0.0000, 0.4955), Zn at (0.0000, 0.5000, 0.7506) and Tc at (0.0000, 0.5000, 0.2516).

The total energy comes out at -29.1 eV for the cell shown. The energy above the most stable polymorph in this dataset is 159.4 meV/atom.

=====

Entry from Alexandria: an optimized crystal structure of SrTc3Cl (PBE-GGA).

It has space group Pm-3m (No. 221), with a = 4.5422 Å, b = 4.5422 Å, c = 4.5422 Å, α = 90.00°, β = 90.00° and γ = 90.00°. Symmetry generates all atoms from Sr at (0.0000, 0.0000, 0.0000), Tc at (0.0000, 0.5000, 0.5000) and Cl at (0.5000, 0.5000, 0.5000).

The total energy comes out at -29.5 eV for the cell shown. The energy above the most stable polymorph in this dataset is 0.0 meV/atom. Its uncorrected formation energy is 1.02 eV/atom.

=====

Entry from Alexandria: an optimized crystal structure of TbZn2Ag8 (PBE-GGA).

It has space group C2/m (No. 12), with a = 7.8227 Å, b = 12.3880 Å, c = 4.8507 Å, α = 90.00°, β = 115.80° and γ = 90.00°. Symmetry generates all atoms from Tb at (0.0000, 0.0000, 0.0000), Zn at (0.0000, 0.3122, 0.5000), Ag at (0.0000, 0.2354, 0.0000), Ag at (0.0860, 0.5000, 0.8123) and Ag at (0.2021, 0.1213, 0.6213).

The total energy comes out at -59.8 eV for the cell shown.

=====

Entry from Alexandria: an optimized crystal structure of ThCuSbSe (PBE-GGA).

It has space group P4/nmm (No. 129, origin choice 2), with a = 4.6373 Å, b = 4.6373 Å, c = 8.5661 Å, α = 90.00°, β = 90.00° and γ = 90.00°. Symmetry generates all atoms from Th at (0.2500, 0.2500, 0.2166), Cu at (0.2500, 0.7500, 0.5000), Sb at (0.2500, 0.2500, 0.6582) and Se at (0.2500, 0.7500, 0.0000).

The total energy comes out at -45.3 eV for the cell shown. Its uncorrected formation energy is -0.88 eV/atom.

=====

Entry from Alexandria: an optimized crystal structure of CoP2Se (PBE-GGA).

It has space group Pm (No. 6), with a = 3.8901 Å, b = 3.3858 Å, c = 5.8267 Å, α = 90.00°, β = 97.31° and γ = 90.00°. Symmetry generates all atoms from Co at (0.0000, 0.0000, 0.0000), P at (0.3502, 0.5000, 0.9934), P at (0.4405, 0.0000, 0.7557) and Se at (0.8207, 0.5000, 0.2719).

The total energy comes out at -21.1 eV for the cell shown. Its uncorrected formation energy is 0.07 eV/atom.